GaAgSbOsPt, relaxed, DFT PBE-GGA; total energy = -5.347 eV/atom; magnetization = 0.000 μB per cell; formation energy from raw total energies = 0.11 eV/atom; SG = P1; mass density = 12.46 g/cm3; distance to the lowest polymorph of the same formula = 174.0 meV/atom; D(E_F) = 2.8 states/eV per cell
1.0
4.556 0.000 0.000
2.256 4.067 0.000
1.313 0.460 4.924
Ga Pt Sb Ag Os
1 1 1 1 1
Cartesian
4.643 3.040 3.413
4.423 3.305 0.811
4.478 0.621 0.491
2.330 1.786 2.150
4.701 0.305 3.168